(1)
The following is a DFT calculation (GGA-PBE) of PmNd2Y2Er after structural relaxation.

Computed properties:
The energy of formation from the pure elements is 0.273 eV/atom. As for the space-group type: Pnnm. Its uncorrected energy is -5.0228 eV/atom. Its density is 6.29 g/cm³. The value obtained for the total magnetic moment is 0.00 μB per cell.

The structure in CIF format:
```
data_PmNd2Y2Er
_space_group_name_H-M_alt 'P 1'
_space_group_IT_number 1
_space_group_name_Hall 'P 1'
_cell_length_a 6.677
_cell_length_b 18.080
_cell_length_c 3.404
_cell_angle_alpha 90.00
_cell_angle_beta 90.00
_cell_angle_gamma 90.00
loop_
_atom_site_label
_atom_site_type_symbol
_atom_site_fract_x
_atom_site_fract_y
_atom_site_fract_z
_atom_site_occupancy
Pm1 Pm 0.000 0.000 0.000 1
Pm2 Pm 0.500 0.500 0.500 1
Nd1 Nd 0.232 0.317 0.000 1
Nd2 Nd 0.268 0.817 0.500 1
Nd3 Nd 0.732 0.183 0.500 1
Nd4 Nd 0.768 0.683 0.000 1
Y1 Y 0.230 0.147 0.500 1
Y2 Y 0.270 0.647 0.000 1
Y3 Y 0.730 0.353 0.000 1
Y4 Y 0.770 0.853 0.500 1
Er1 Er 0.000 0.500 0.000 1
Er2 Er 0.500 0.000 0.500 1
```


(2)
The following is a DFT calculation (GGA-PBE) of PmNd6Y2Er after structural relaxation.

Computed properties:
The energy of formation from the pure elements is 0.116 eV/atom. As for the space-group type: C2/c. Its uncorrected energy is -4.9685 eV/atom. Its density is 6.53 g/cm³. The value obtained for the total magnetic moment is 0.00 μB per cell.

The structure in CIF format:
```
data_PmNd6Y2Er
_space_group_name_H-M_alt 'P 1'
_space_group_IT_number 1
_space_group_name_Hall 'P 1'
_cell_length_a 8.991
_cell_length_b 8.991
_cell_length_c 9.610
_cell_angle_alpha 93.21
_cell_angle_beta 93.21
_cell_angle_gamma 116.80
loop_
_atom_site_label
_atom_site_type_symbol
_atom_site_fract_x
_atom_site_fract_y
_atom_site_fract_z
_atom_site_occupancy
Pm1 Pm 0.032 0.968 0.750 1
Pm2 Pm 0.968 0.032 0.250 1
Nd1 Nd 0.006 0.561 0.687 1
Nd2 Nd 0.115 0.762 0.057 1
Nd3 Nd 0.238 0.885 0.443 1
Nd4 Nd 0.293 0.519 0.884 1
Nd5 Nd 0.439 0.994 0.813 1
Nd6 Nd 0.481 0.707 0.616 1
Nd7 Nd 0.519 0.293 0.384 1
Nd8 Nd 0.561 0.006 0.187 1
Nd9 Nd 0.707 0.481 0.116 1
Nd10 Nd 0.762 0.115 0.557 1
Nd11 Nd 0.885 0.238 0.943 1
Nd12 Nd 0.994 0.439 0.313 1
Y1 Y 0.204 0.299 0.550 1
Y2 Y 0.299 0.204 0.050 1
Y3 Y 0.701 0.796 0.950 1
Y4 Y 0.796 0.701 0.450 1
Er1 Er 0.412 0.588 0.250 1
Er2 Er 0.588 0.412 0.750 1
```